Record 1
! TbPm4Th PBE optimized geometry; values from VASP
&SYSTEM
  ibrav = 0, nat = 12, ntyp = 3
/
ATOMIC_SPECIES
Tb 158.93 Tb.upf
Pm 145.00 Pm.upf
Th 232.04 Th.upf
ATOMIC_POSITIONS angstrom
Tb 3.068 1.424 8.618
Tb 5.081 -1.424 2.873
Pm 2.719 1.430 2.404
Pm 5.415 1.426 0.489
Pm 4.746 1.426 5.256
Pm 7.443 1.430 3.342
Pm 0.706 -1.430 8.149
Pm 3.403 -1.426 6.234
Pm 2.734 -1.426 11.001
Pm 5.430 -1.430 9.087
Th 1.031 1.426 5.745
Th 3.043 -1.426 0.000
CELL_PARAMETERS angstrom
6.087 -2.852 0.000
6.087 2.852 0.000
-4.025 0.000 11.490
! Energy relative to the lowest polymorph listed for this composition ... 0.000 eV per atom
! DOS(E_F) ... 1.4147 states/eV/atom
! Energy relative to the elements ... 0.062 eV per atom

=====

Record 2
! Sr2In6PtRh PBE optimized geometry; values from VASP
&SYSTEM
  ibrav = 0, nat = 10, ntyp = 4
/
ATOMIC_SPECIES
Sr 87.62 Sr.upf
In 114.82 In.upf
Pt 195.08 Pt.upf
Rh 102.91 Rh.upf
ATOMIC_POSITIONS angstrom
Sr 2.605 2.605 2.605
Sr 7.814 7.814 7.814
In 5.209 5.209 2.585
In 5.209 2.585 5.209
In 7.833 5.209 5.209
In 2.585 5.209 5.209
In 5.209 7.833 5.209
In 5.209 5.209 7.833
Pt 5.209 5.209 5.209
Rh 0.000 0.000 0.000
CELL_PARAMETERS angstrom
0.000 5.209 5.209
5.209 0.000 5.209
5.209 5.209 0.000
! DOS(E_F) ... 0.4393 states/eV/atom
! Energy relative to the elements ... -0.329 eV per atom

=====

Record 3
! Li2CuH6Ir PBE optimized geometry; values from VASP
&SYSTEM
  ibrav = 0, nat = 10, ntyp = 4
/
ATOMIC_SPECIES
Li 6.94 Li.upf
Cu 63.55 Cu.upf
H 1.01 H.upf
Ir 192.22 Ir.upf
ATOMIC_POSITIONS angstrom
Li 0.000 2.748 1.955
Li 2.380 1.374 3.054
Cu 0.000 0.000 0.000
H 0.000 1.337 3.537
H -1.222 3.453 3.537
H 1.158 0.668 1.472
H 1.222 3.453 3.537
H 3.602 0.668 1.472
H 2.380 2.785 1.472
Ir 0.000 0.000 2.504
CELL_PARAMETERS angstrom
4.759 0.000 0.000
-2.380 4.122 0.000
0.000 0.000 5.009
! Total energy ... -0.292 Ry per atom

=====

Record 4
! KY2Al PBE optimized geometry; values from VASP
&SYSTEM
  ibrav = 0, nat = 4, ntyp = 3
/
ATOMIC_SPECIES
K 39.10 K.upf
Y 88.91 Y.upf
Al 26.98 Al.upf
ATOMIC_POSITIONS angstrom
K 0.000 0.000 0.000
Y 0.000 0.000 5.617
Y 1.932 1.932 3.496
Al 1.932 1.932 6.893
CELL_PARAMETERS angstrom
3.865 0.000 0.000
0.000 3.865 0.000
0.000 0.000 9.529
! DOS(E_F) ... 0.8668 states/eV/atom
! Energy relative to the elements ... 0.141 eV per atom

=====

Record 5
! CrGa3Co PBE optimized geometry; values from VASP
&SYSTEM
  ibrav = 0, nat = 5, ntyp = 3
/
ATOMIC_SPECIES
Cr 52.00 Cr.upf
Ga 69.72 Ga.upf
Co 58.93 Co.upf
ATOMIC_POSITIONS angstrom
Cr 0.000 0.000 0.000
Ga 0.000 2.209 2.209
Ga 2.209 0.000 2.209
Ga 2.209 2.209 0.000
Co 2.209 2.209 2.209
CELL_PARAMETERS angstrom
4.417 0.000 0.000
0.000 4.417 0.000
0.000 0.000 4.417
! Energy relative to the lowest polymorph listed for this composition ... 0.000 eV per atom
! DOS(E_F) ... 1.5231 states/eV/atom
! Energy relative to the elements ... 0.654 eV per atom

=====

Record 6
! Ac2LaHg PBE optimized geometry; values from VASP
&SYSTEM
  ibrav = 0, nat = 4, ntyp = 3
/
ATOMIC_SPECIES
Ac 227.00 Ac.upf
La 138.91 La.upf
Hg 200.59 Hg.upf
ATOMIC_POSITIONS angstrom
Ac 0.000 0.000 0.000
Ac 0.000 0.000 6.289
La 0.000 0.000 14.488
Hg 0.000 0.000 20.209
CELL_PARAMETERS angstrom
1.989 1.148 11.373
-1.989 1.148 11.373
0.000 -2.297 11.373
! Energy relative to the lowest polymorph listed for this composition ... 0.092 eV per atom
! DOS(E_F) ... 1.3721 states/eV/atom
! Energy relative to the elements ... -0.134 eV per atom